(1)
GGA-PBEsol Ba3SbF, relaxed; DOS at the Fermi energy = 4.01 states/eV/f.u.; formation energy from raw total energies = -1.497 eV per atom; symmetry = No. 221; density = 5.91 g/cm³
1.0
5.376 0.000 0.000
0.000 5.376 0.000
0.000 0.000 5.376
Ba Sb F
3 1 1
Direct
0.000 0.000 0.500
0.000 0.500 0.000
0.500 0.000 0.000
0.500 0.500 0.500
0.000 0.000 0.000

***

(2)
GGA-PBEsol Dy2GeO5, relaxed; DOS at the Fermi energy = 0.00 states/eV/f.u.; formation energy from raw total energies = -2.973 eV per atom; symmetry = No. 15; density = 7.19 g/cm³
1.0
7.439 -3.384 0.000
7.439 3.384 0.000
-5.464 0.000 8.763
Dy Ge O
8 4 20
Direct
0.002 0.271 0.835
0.208 0.723 0.539
0.271 0.002 0.335
0.277 0.792 0.961
0.723 0.208 0.039
0.729 0.998 0.665
0.792 0.277 0.461
0.998 0.729 0.165
0.220 0.410 0.689
0.410 0.220 0.189
0.590 0.780 0.811
0.780 0.590 0.311
0.042 0.349 0.673
0.080 0.884 0.101
0.084 0.687 0.682
0.116 0.920 0.399
0.225 0.366 0.046
0.313 0.916 0.818
0.349 0.042 0.173
0.366 0.225 0.546
0.413 0.422 0.362
0.422 0.413 0.862
0.578 0.587 0.138
0.587 0.578 0.638
0.634 0.775 0.454
0.651 0.958 0.827
0.687 0.084 0.182
0.775 0.634 0.954
0.884 0.080 0.601
0.916 0.313 0.318
0.920 0.116 0.899
0.958 0.651 0.327

***

(3)
GGA-PBEsol InPdI2N, relaxed; DOS at the Fermi energy = 5.08 states/eV/f.u.; formation energy from raw total energies = 0.921 eV per atom; symmetry = No. 123; density = 6.00 g/cm³
1.0
5.830 0.000 0.000
0.000 5.830 0.000
0.000 0.000 3.982
In Pd I N
1 1 2 1
Direct
0.000 0.000 0.000
0.500 0.500 0.500
0.000 0.500 0.000
0.500 0.000 0.000
0.000 0.000 0.500

***

(4)
GGA-PBEsol Nd2MgS4, relaxed; DOS at the Fermi energy = 0.00 states/eV/f.u.; formation energy from raw total energies = -1.866 eV per atom; symmetry = No. 122; density = 5.03 g/cm³
1.0
-4.105 4.105 4.323
4.105 -4.105 4.323
4.105 4.105 -4.323
Nd Mg S
4 2 8
Direct
0.001 0.625 0.876
0.375 0.251 0.376
0.749 0.125 0.124
0.875 0.999 0.624
0.250 0.750 0.500
0.500 0.500 0.000
0.125 0.390 0.122
0.140 0.375 0.622
0.268 0.004 0.878
0.482 0.860 0.236
0.610 0.732 0.736
0.625 0.246 0.764
0.754 0.518 0.378
0.996 0.875 0.264

***

(5)
GGA-PBEsol LiCo3NiO8, relaxed; DOS at the Fermi energy = 7.72 states/eV/f.u.; formation energy from raw total energies = -1.079 eV per atom; symmetry = No. 166; density = 4.73 g/cm³
1.0
2.784 1.608 4.841
-2.784 1.608 4.841
0.000 -3.215 4.841
Li Co Ni O
1 3 1 8
Direct
0.000 0.000 0.000
0.000 0.000 0.500
0.000 0.500 0.000
0.500 0.000 0.000
0.500 0.500 0.500
0.229 0.734 0.734
0.230 0.230 0.230
0.266 0.266 0.771
0.266 0.771 0.266
0.734 0.229 0.734
0.734 0.734 0.229
0.770 0.770 0.770
0.771 0.266 0.266

***

(6)
GGA-PBEsol DyCoSn2, relaxed; ΔE_f = -42 kJ per mole of atoms; DOS at the Fermi energy = 2.11 states/eV/f.u.; symmetry = No. 63; density = 8.99 g/cm³
1.0
2.137 -9.054 0.000
2.137 9.054 0.000
0.000 0.000 4.379
Dy Co Sn
2 2 4
Direct
0.115 0.885 0.750
0.885 0.115 0.250
0.321 0.679 0.750
0.679 0.321 0.250
0.251 0.749 0.250
0.452 0.548 0.750
0.548 0.452 0.250
0.749 0.251 0.750